Below is a relaxed Li4Ti3Mn3Fe2O16 crystal, with properties calculated at the PBE+U level.

Lattice parameters (Å, degrees): 5.8461 5.9167 9.6028 90.03 90.17 119.24
Last column: nearest neighbours and their distance in Å.
Atoms (fractional coordinates):
Li 0.0000 0.0000 0.0000  4 O 1.79-1.97
Li 0.0013 0.0001 0.5020  3 O 1.78-1.93
Li 0.3213 0.6697 0.3959  4 O 1.96-2.04
Li 0.6550 0.3254 0.8987  4 O 1.96-2.00
Ti 0.1394 0.3425 0.7136  5 O 1.89-2.05
Ti 0.6528 0.8112 0.7265  5 O 1.86-1.99
Ti 0.8327 0.1800 0.2194  6 O 1.92-2.05
Mn 0.1707 0.8358 0.7179  6 O 1.95-2.04
Mn 0.3359 0.1716 0.2179  6 O 1.91-2.01
Mn 0.8208 0.6635 0.2201  6 O 1.95-2.16
Fe 0.3320 0.6771 0.9984  6 O 2.02-2.16
Fe 0.6484 0.3353 0.4958  6 O 2.00-2.16
O 0.0143 0.0313 0.3179  1 Li 1.78, 1 Mn 1.91, 1 Ti 1.92
O 0.0340 0.5199 0.8447  1 Ti 1.92, 1 Li 2.00, 1 Mn 2.04, 1 Fe 2.12
O 0.1590 0.3274 0.1047  1 Li 1.96, 1 Ti 2.00, 1 Mn 2.01, 1 Fe 2.08
O 0.1632 0.8471 0.1092  1 Li 1.91, 2 Mn 1.97-2.05, 1 Fe 2.02
O 0.3205 0.1701 0.6094  1 Li 1.93, 1 Fe 2.00, 1 Mn 2.02, 1 Ti 2.05
O 0.3375 0.6660 0.6077  2 Ti 1.97, 1 Mn 2.01, 1 Li 2.04
O 0.4756 0.9602 0.8407  1 Mn 1.95, 1 Li 1.96, 1 Ti 1.99, 1 Fe 2.11
O 0.4841 0.5244 0.8419  1 Ti 1.86, 1 Li 1.96
O 0.5004 0.4740 0.3387  2 Mn 1.95-2.01, 1 Li 1.98, 1 Fe 2.09
O 0.5097 0.0415 0.3399  1 Mn 1.94, 1 Li 1.99, 1 Ti 2.02, 1 Fe 2.13
O 0.6439 0.3039 0.1045  1 Mn 1.92, 1 Ti 1.94, 1 Li 1.98
O 0.6723 0.8402 0.1079  1 Li 1.97, 1 Mn 1.97, 1 Fe 2.03, 1 Ti 2.05
O 0.8314 0.1716 0.6037  1 Ti 1.89, 1 Li 1.99, 1 Fe 2.04
O 0.8363 0.6794 0.6055  1 Li 1.93, 1 Ti 1.98, 1 Mn 2.02, 1 Fe 2.07
O 0.9516 0.4841 0.3398  1 Mn 1.95, 1 Ti 1.96, 1 Li 1.96, 1 Fe 2.16
O 0.9975 0.0090 0.8133  1 Li 1.79, 2 Ti 1.95-1.98, 1 Mn 1.98

Summary:
- Space group: P1 (1)
- DFT total energy: -202.13 eV per formula unit